Crystalline GaIr2Cl at its relaxed geometry, computed with GGA-PBE.

Cell: 4.124 4.124 15.924 Å, 90.00 90.00 90.00°
Space group I-42d (No. 122)
Unique sites:
Ga (0.000, 0.000, 0.000) x4
Ir (0.224, 0.250, 0.625) x8
Cl (0.000, 0.000, 0.500) x4

Summary:
Excess energy over the best structure of this formula in the dataset = 0 meV per atom
Raw formation energy = 0.497 eV per atom

Crystalline RbMgSi at its relaxed geometry, computed with GGA-PBE.

Cell: 4.6349 4.6349 5.6578 Å, 90.00 90.00 120.00°
Space group P-6m2 (No. 187)
Unique sites:
Rb (0.0000, 0.0000, 0.0000) x1
Mg (0.6667, 0.3333, 0.5000) x1
Si (0.3333, 0.6667, 0.5000) x1

Summary:
Excess energy over the best structure of this formula in the dataset = 172 meV per atom
Raw formation energy = 0.238 eV per atom

Crystalline ZrTaW at its relaxed geometry, computed with GGA-PBE.

Cell: 3.319 3.319 10.303 Å, 90.00 90.00 90.00°
Space group I4mm (No. 107)
Unique sites:
Zr (0.000, 0.000, 0.000) x2
Ta (0.000, 0.000, 0.311) x2
W (0.000, 0.000, 0.673) x2

Summary:
Excess energy over the best structure of this formula in the dataset = 130 meV per atom
Calculated formation energy = 55 meV per atom

Crystalline PrTm2P3 at its relaxed geometry, computed with GGA-PBE.

Cell: 4.036 5.724 12.099 Å, 90.00 90.00 90.00°
Space group Immm (No. 71)
Unique sites:
Pr (0.000, 0.000, 0.000) x2
Tm (0.000, 0.000, 0.334) x4
P (0.000, 0.500, 0.000) x2
P (0.000, 0.500, 0.325) x4

Summary:
Calculated formation energy = -1547 meV per atom

Crystalline YAsBr2 at its relaxed geometry, computed with GGA-PBE.

Cell: 3.967 5.195 13.618 Å, 90.00 90.00 90.00°
Space group Imm2 (No. 44)
Unique sites:
Y (0.000, 0.000, 0.000) x2
As (0.000, 0.500, 0.646) x2
Br (0.000, 0.000, 0.571) x2
Br (0.000, 0.500, 0.348) x2

Summary:
Excess energy over the best structure of this formula in the dataset = 280 meV per atom
Raw formation energy = -0.840 eV per atom

Crystalline BiAs6Pd12 at its relaxed geometry, computed with GGA-PBE.

Cell: 12.0696 12.0696 7.9999 Å, 90.00 90.00 120.00°
Space group R-3m (No. 166, hexagonal axes)
Unique sites:
Bi (0.0000, 0.0000, 0.0000) x3
As (0.0483, 0.5242, 0.2571) x18
Pd (0.0000, 0.3782, 0.5000) x18
Pd (0.0803, 0.1606, 0.3112) x18

Summary:
Calculated formation energy = -246 meV per atom

What are the calculated total energy values for these records? In order: -5.15, -2.42, -11.06, -6.54, -4.45, -5.20 eV/atom.
What are the volume values for these records? In order: 16.9, 35.1, 18.9, 23.3, 35.1, 17.7 A^3/atom.